Computed, not measured: crystalline Na12Tl7Rh at its relaxed geometry at the GGA-PBE level of DFT.

## Properties
crystal system: trigonal
D(E_F): 29.60 states/eV/cell
calculated volume: 28.72 A^3/atom
total DFT energy (no corrections): -121.93 eV for the cell shown

Cell and atoms, written as CIF:
```
data_Na12Tl7Rh
_chemical_formula_sum 'Na36 Tl21 Rh3'
_symmetry_space_group_name_H-M 'R -3'
_symmetry_Int_Tables_number 148
_symmetry_space_group_name_Hall '-R 3'
_cell_length_a 13.3999
_cell_length_b 13.3999
_cell_length_c 11.0820
_cell_angle_alpha 90.00
_cell_angle_beta 90.00
_cell_angle_gamma 120.00
loop_
_atom_site_label
_atom_site_fract_x
_atom_site_fract_y
_atom_site_fract_z
Na1 0.0123 0.7533 0.0180
Na2 0.0480 0.8914 0.7411
Tl1 0.0000 0.0000 0.0000
Tl2 0.0771 0.5642 0.1228
Rh1 0.0000 0.0000 0.5000
```

---

Computed, not measured: crystalline Na5Tl6Rh at its relaxed geometry at the GGA-PBE level of DFT.

## Properties
crystal system: monoclinic
D(E_F): 10.67 states/eV/cell
calculated volume: 26.14 A^3/atom
total DFT energy (no corrections): -57.75 eV for the cell shown

Cell and atoms, written as CIF:
```
data_Na5Tl6Rh
_chemical_formula_sum 'Na10 Tl12 Rh2'
_symmetry_space_group_name_H-M 'C 1 2/m 1'
_symmetry_Int_Tables_number 12
_symmetry_space_group_name_Hall '-C 2y'
_cell_length_a 16.188
_cell_length_b 8.068
_cell_length_c 5.053
_cell_angle_alpha 90.00
_cell_angle_beta 108.07
_cell_angle_gamma 90.00
loop_
_atom_site_label
_atom_site_fract_x
_atom_site_fract_y
_atom_site_fract_z
Na1 0.000 0.000 0.000
Na2 0.157 0.000 0.657
Na3 0.195 0.500 0.693
Tl1 0.000 0.299 0.500
Tl2 0.147 0.279 0.145
Rh1 0.000 0.500 0.000
```

---

Computed, not measured: crystalline NaTlRh at its relaxed geometry at the GGA-PBE level of DFT.

## Properties
crystal system: tetragonal
D(E_F): 1.94 states/eV/cell
calculated volume: 21.39 A^3/atom
total DFT energy (no corrections): -21.25 eV for the cell shown

Cell and atoms, written as CIF:
```
data_NaTlRh
_chemical_formula_sum 'Na2 Tl2 Rh2'
_symmetry_space_group_name_H-M 'I 4 m m'
_symmetry_Int_Tables_number 107
_symmetry_space_group_name_Hall 'I 4 -2'
_cell_length_a 3.355
_cell_length_b 3.355
_cell_length_c 11.402
_cell_angle_alpha 90.00
_cell_angle_beta 90.00
_cell_angle_gamma 90.00
loop_
_atom_site_label
_atom_site_fract_x
_atom_site_fract_y
_atom_site_fract_z
Na1 0.000 0.000 0.000
Tl1 0.000 0.000 0.706
Rh1 0.000 0.000 0.334
```

---

Number 2 is which compound?
Na5Tl6Rh